The following is a DFT calculation (PBE-GGA) of a relaxed structure of Ce2Mg.

Geometry as POSCAR:
```
Ce2Mg
1.0
6.1735 0.0000 0.0000
0.0000 6.1735 0.0000
0.0000 0.0000 5.6337
Ce Mg
4 2
Direct
0.3486 0.3486 0.0000 Ce
0.6514 0.6514 0.0000 Ce
0.8486 0.1514 0.5000 Ce
0.1514 0.8486 0.5000 Ce
0.0000 0.0000 0.0000 Mg
0.5000 0.5000 0.5000 Mg
```

Output
E_tot: -3.842 eV per atom
Energy of formation from the pure elements: 645.5 meV/atom
Volume: 35.79 Å³ per atom
N(E_F): 22.24 states/eV per cell
Polymorph energy (0 for the lowest one): 627.7 meV/atom
Total magnetization: 4.43 Bohr magnetons per cell
Space group: P4_2/mnm, No. 136